1.
Compound: BeZn2Pb
Source: Alexandria
Functional: PBE-GGA
Structure: relaxed

abc: 4.209 4.209 8.194
angles: 90.00 90.00 90.00
Space group I-4m2 (No. 119)
Inequivalent atoms, fractional coordinates:
Be 0.000 0.000 0.000 (multiplicity 2)
Zn 0.000 0.000 0.500 (multiplicity 2)
Zn 0.000 0.500 0.250 (multiplicity 2)
Pb 0.000 0.500 0.750 (multiplicity 2)

Output
Total energy = -16.071 eV for the cell shown
Formation enthalpy at 0 K = 0.487 eV per atom
Crystal system = tetragonal
DOS(E_F) = 1.35 states/eV/f.u.



2.
Compound: Be2ZnPb
Source: Alexandria
Functional: PBE-GGA
Structure: relaxed

abc: 3.0967 3.0967 24.3598
angles: 90.00 90.00 120.00
Space group R-3m (No. 166, hexagonal axes)
Inequivalent atoms, fractional coordinates:
Be 0.0000 0.0000 0.2346 (multiplicity 6)
Zn 0.0000 0.0000 0.5000 (multiplicity 3)
Pb 0.0000 0.0000 0.0000 (multiplicity 3)

Output
Total energy = -28.993 eV for the cell shown
Formation enthalpy at 0 K = 0.693 eV per atom
Crystal system = trigonal
DOS(E_F) = 0.87 states/eV/f.u.



3.
Compound: BeZn2Pb
Source: Alexandria
Functional: PBE-GGA
Structure: relaxed

abc: 4.411 4.411 16.388
angles: 90.00 90.00 90.00
Space group I-42d (No. 122)
Inequivalent atoms, fractional coordinates:
Be 0.000 0.000 0.000 (multiplicity 4)
Zn 0.122 0.750 0.125 (multiplicity 8)
Pb 0.000 0.000 0.500 (multiplicity 4)

Output
Total energy = -33.999 eV for the cell shown
Formation enthalpy at 0 K = 0.371 eV per atom
Crystal system = tetragonal
DOS(E_F) = 1.79 states/eV/f.u.



4.
Compound: BeZn2Pb
Source: Alexandria
Functional: PBE-GGA
Structure: relaxed

abc: 4.991 8.120 3.693
angles: 90.00 90.00 90.00
Space group Cmmm (No. 65)
Inequivalent atoms, fractional coordinates:
Be 0.000 0.000 0.000 (multiplicity 2)
Zn 0.250 0.250 0.500 (multiplicity 4)
Pb 0.000 0.500 0.000 (multiplicity 2)

Output
Total energy = -16.297 eV for the cell shown
Formation enthalpy at 0 K = 0.458 eV per atom
Crystal system = orthorhombic
DOS(E_F) = 0.81 states/eV/f.u.



5.
Compound: BeZn2Pb
Source: Alexandria
Functional: PBE-GGA
Structure: relaxed

abc: 2.967 5.268 9.538
angles: 90.00 90.00 90.00
Space group Immm (No. 71)
Inequivalent atoms, fractional coordinates:
Be 0.000 0.000 0.000 (multiplicity 2)
Zn 0.000 0.500 0.297 (multiplicity 4)
Pb 0.000 0.000 0.500 (multiplicity 2)

Output
Total energy = -16.646 eV for the cell shown
Formation enthalpy at 0 K = 0.415 eV per atom
Crystal system = orthorhombic
DOS(E_F) = 1.48 states/eV/f.u.



6.
Compound: Be2ZnPb
Source: Alexandria
Functional: PBE-GGA
Structure: relaxed

abc: 4.121 5.136 6.364
angles: 90.00 90.00 90.00
Space group Cmmm (No. 65)
Inequivalent atoms, fractional coordinates:
Be 0.000 0.000 0.172 (multiplicity 4)
Zn 0.000 0.500 0.000 (multiplicity 2)
Pb 0.000 0.500 0.500 (multiplicity 2)

Output
Total energy = -20.338 eV for the cell shown
Formation enthalpy at 0 K = 0.566 eV per atom
Crystal system = orthorhombic
DOS(E_F) = 0.91 states/eV/f.u.



7.
Compound: BeZn2Pb
Source: Alexandria
Functional: PBE-GGA
Structure: relaxed

abc: 3.827 4.151 4.905
angles: 90.00 103.11 90.00
Space group P2/m (No. 10)
Inequivalent atoms, fractional coordinates:
Be 0.000 0.000 0.000 (multiplicity 1)
Zn 0.107 0.500 0.777 (multiplicity 2)
Pb 0.500 0.000 0.500 (multiplicity 1)

Output
Total energy = -8.568 eV for the cell shown
Formation enthalpy at 0 K = 0.354 eV per atom
Crystal system = monoclinic
DOS(E_F) = 0.98 states/eV/f.u.



8.
Compound: BeZn2Pb
Source: Alexandria
Functional: PBE-GGA
Structure: relaxed

abc: 3.047 3.919 12.479
angles: 90.00 90.00 90.00
Space group Imm2 (No. 44)
Inequivalent atoms, fractional coordinates:
Be 0.000 0.000 0.000 (multiplicity 2)
Zn 0.000 0.000 0.497 (multiplicity 2)
Zn 0.000 0.500 0.348 (multiplicity 2)
Pb 0.000 0.500 0.699 (multiplicity 2)

Output
Total energy = -17.408 eV for the cell shown
Formation enthalpy at 0 K = 0.320 eV per atom
Crystal system = orthorhombic
DOS(E_F) = 1.48 states/eV/f.u.



9.
Compound: Be2ZnPb
Source: Alexandria
Functional: PBE-GGA
Structure: relaxed

abc: 5.409 7.659 3.181
angles: 90.00 90.00 90.00
Space group Cmmm (No. 65)
Inequivalent atoms, fractional coordinates:
Be 0.250 0.250 0.000 (multiplicity 4)
Zn 0.000 0.000 0.500 (multiplicity 2)
Pb 0.000 0.500 0.500 (multiplicity 2)

Output
Total energy = -19.133 eV for the cell shown
Formation enthalpy at 0 K = 0.717 eV per atom
Crystal system = orthorhombic
DOS(E_F) = 0.86 states/eV/f.u.



10.
Compound: BeZn2Pb
Source: Alexandria
Functional: PBE-GGA
Structure: relaxed

abc: 3.995 3.995 4.535
angles: 90.00 90.00 90.00
Space group P4/mmm (No. 123)
Inequivalent atoms, fractional coordinates:
Be 0.000 0.000 0.000 (multiplicity 1)
Zn 0.000 0.500 0.500 (multiplicity 2)
Pb 0.500 0.500 0.000 (multiplicity 1)

Output
Total energy = -8.091 eV for the cell shown
Formation enthalpy at 0 K = 0.473 eV per atom
Crystal system = tetragonal
DOS(E_F) = 1.17 states/eV/f.u.



11.
Compound: BeZn2Pb
Source: Alexandria
Functional: PBE-GGA
Structure: relaxed

abc: 6.715 6.715 6.715
angles: 90.00 90.00 90.00
Space group Fm-3m (No. 225)
Inequivalent atoms, fractional coordinates:
Be 0.000 0.000 0.000 (multiplicity 4)
Zn 0.250 0.250 0.250 (multiplicity 8)
Pb 0.000 0.000 0.500 (multiplicity 4)

Output
Total energy = -30.816 eV for the cell shown
Formation enthalpy at 0 K = 0.570 eV per atom
Crystal system = cubic
DOS(E_F) = 1.81 states/eV/f.u.



12.
Compound: Be2ZnPb
Source: Alexandria
Functional: PBE-GGA
Structure: relaxed

abc: 5.597 8.525 3.443
angles: 90.00 121.69 90.00
Space group C2/m (No. 12)
Inequivalent atoms, fractional coordinates:
Be 0.250 0.250 0.000 (multiplicity 4)
Zn 0.000 0.000 0.000 (multiplicity 2)
Pb 0.000 0.500 0.000 (multiplicity 2)

Output
Total energy = -18.940 eV for the cell shown
Formation enthalpy at 0 K = 0.741 eV per atom
Crystal system = monoclinic
DOS(E_F) = 0.99 states/eV/f.u.